No. 1
Computed, not measured: a relaxed structure of Ho2Tm3LuBi2Os at the PBE level of DFT.

POSCAR file:
```
Ho2Tm3LuBi2Os
1.0
-3.488 2.189 0.894
3.626 3.043 6.693
0.665 3.975 -7.139
Bi Tm Lu Ho Os
2 3 1 2 1
direct
0.500 0.664 0.333
0.500 0.333 0.664
0.000 0.614 0.614
0.000 0.383 0.000
0.000 0.000 0.383
0.500 0.234 0.234
0.500 0.000 0.766
0.500 0.766 0.000
0.000 0.006 0.006
```

Volume: 246.0 Å³ per cell


No. 2
Computed, not measured: a relaxed structure of HoTm3Lu2Bi2Os at the PBE level of DFT.

POSCAR file:
```
HoTm3Lu2Bi2Os
1.0
-0.131 -2.356 -3.480
-5.483 -4.924 3.540
-2.490 6.491 -4.302
Bi Tm Lu Os Ho
2 3 2 1 1
direct
0.000 0.334 0.669
0.000 0.669 0.334
0.500 0.619 0.619
0.500 0.382 0.999
0.500 0.999 0.382
0.000 0.767 0.000
0.000 0.000 0.767
0.500 0.996 0.996
0.000 0.234 0.234
```

Volume: 243.1 Å³ per cell


Number 1: total energy -5.70 eV/atom. Number 2: total energy -5.70 eV/atom.